The following is a PBE-GGA calculation of a geometry-optimized MoSe2 structure, from the Alexandria database.

a b c (Å): 3.323 3.323 7.616
angles (deg): 90.00 90.00 120.00
Fractional positions:
Mo 0.000 0.000 0.000
Se 0.333 0.667 0.220
Se 0.333 0.667 0.780

Output
The calculation puts the raw total energy at -6.62 eV per atom. The energy relative to the elements, uncorrected comes out at -0.68 eV/atom. As for the space-group type: No. 187.